No. 1
This record from the Alexandria database describes crystalline DyPuCo at its relaxed geometry. The functional is GGA-PBE.

```
DyPuCo
1.0
3.3398 0.0000 0.0000
0.0000 3.3398 0.0000
-1.6699 -1.6699 6.0357
Dy Co Pu
1 1 1
Direct
0.0315 0.0315 0.0631
0.6694 0.6694 0.3388
0.2990 0.2990 0.5981
```

E_form = 0.037 eV/atom
E above lowest polymorph = 136 meV per atom
crystal system = tetragonal

No. 2
This record from the Alexandria database describes crystalline InHgTe2 at its relaxed geometry. The functional is GGA-PBE.

```
InHgTe2
1.0
-1.0394 1.4653 2.6020
2.1589 -2.0275 1.1074
8.8757 8.7087 -1.3586
Hg In Te
1 1 2
Direct
0.5000 0.5000 0.2500
0.5000 0.5000 0.7500
0.0000 0.0000 0.9806
0.0000 0.0000 0.5194
```

energy relative to the elements, uncorrected = 0.008 eV/atom
crystal system = orthorhombic

No. 3
This record from the Alexandria database describes crystalline LaCuHAu2 at its relaxed geometry. The functional is GGA-PBE.

```
LaCuHAu2
1.0
5.8571 0.0000 0.0000
0.0000 5.7252 0.0000
0.0000 0.0000 5.8571
H Au Cu La
1 2 1 1
Direct
0.5000 0.5000 0.5000
0.0000 0.0000 0.5000
0.5000 0.0000 0.0000
0.0000 0.5000 0.0000
0.0000 0.0000 0.0000
```

final energy = -14.15 eV/f.u.
crystal system = tetragonal